No. 1
DFT (PBE) results for a geometry-optimized Tb12NdSm6 structure.

## Properties
M_tot in μB per formula unit: 0.00
Calculated formation energy in kJ/mol of atoms: 14.4
Energy above the most stable polymorph in this dataset in eV per atom: 0.000

a = 12.0286 Å, b = 12.0286 Å, c = 15.1815 Å
α = 90.00°, β = 90.00°, γ = 120.00°
Last column: nearest neighbours and their distance in Å.
Space group R-3 (No. 148, hexagonal axes)
Unique sites:
Tb 0.0132 0.1781 0.1914  4 Tb 3.43-3.58, 4 Sm 3.53-3.70, 1 Nd 3.57
Tb 0.0437 0.1906 0.4162  6 Tb 3.29-3.60, 3 Sm 3.33-3.44
Nd 0.0000 0.0000 0.0000  6 Sm 3.53, 6 Tb 3.57
Sm 0.0095 0.5885 0.6805  7 Tb 3.33-3.70, 1 Nd 3.53, 2 Sm 3.55


No. 2
DFT (PBE) results for a geometry-optimized Tb3Nd4Sm structure.

## Properties
M_tot in μB per formula unit: 0.00
Calculated formation energy in kJ/mol of atoms: 2.9
Energy above the most stable polymorph in this dataset in eV per atom: 0.014

a = 11.7121 Å, b = 7.3502 Å, c = 6.3460 Å
α = 90.00°, β = 90.00°, γ = 90.00°
Last column: nearest neighbours and their distance in Å.
Space group Pmn2_1 (No. 31)
Unique sites:
Tb 0.0000 0.1219 0.0000  4 Tb 3.60-3.61, 6 Nd 3.60-3.72, 2 Sm 3.64-3.66
Tb 0.2499 0.1223 0.3331  4 Tb 3.60-3.65, 2 Sm 3.60-3.61, 6 Nd 3.61-3.71
Nd 0.0000 0.3726 0.4974  6 Nd 3.61-3.71, 4 Tb 3.61-3.68, 2 Sm 3.65-3.70
Nd 0.0000 0.6279 0.0018  6 Nd 3.62-3.71, 4 Tb 3.62-3.72, 2 Sm 3.66
Nd 0.2481 0.3735 0.8340  5 Tb 3.60-3.71, 6 Nd 3.61-3.68, 1 Sm 3.63
Sm 0.0000 0.8761 0.5012  6 Tb 3.60-3.66, 6 Nd 3.63-3.70


Repeat the first record exactly.
DFT (PBE) results for a geometry-optimized Tb12NdSm6 structure.

## Properties
M_tot in μB per formula unit: 0.00
Calculated formation energy in kJ/mol of atoms: 14.4
Energy above the most stable polymorph in this dataset in eV per atom: 0.000

a = 12.0286 Å, b = 12.0286 Å, c = 15.1815 Å
α = 90.00°, β = 90.00°, γ = 120.00°
Last column: nearest neighbours and their distance in Å.
Space group R-3 (No. 148, hexagonal axes)
Unique sites:
Tb 0.0132 0.1781 0.1914  4 Tb 3.43-3.58, 4 Sm 3.53-3.70, 1 Nd 3.57
Tb 0.0437 0.1906 0.4162  6 Tb 3.29-3.60, 3 Sm 3.33-3.44
Nd 0.0000 0.0000 0.0000  6 Sm 3.53, 6 Tb 3.57
Sm 0.0095 0.5885 0.6805  7 Tb 3.33-3.70, 1 Nd 3.53, 2 Sm 3.55


What did the first record say?
DFT (PBE) results for a geometry-optimized Tb12NdSm6 structure.

## Properties
M_tot in μB per formula unit: 0.00
Calculated formation energy in kJ/mol of atoms: 14.4
Energy above the most stable polymorph in this dataset in eV per atom: 0.000

a = 12.0286 Å, b = 12.0286 Å, c = 15.1815 Å
α = 90.00°, β = 90.00°, γ = 120.00°
Last column: nearest neighbours and their distance in Å.
Space group R-3 (No. 148, hexagonal axes)
Unique sites:
Tb 0.0132 0.1781 0.1914  4 Tb 3.43-3.58, 4 Sm 3.53-3.70, 1 Nd 3.57
Tb 0.0437 0.1906 0.4162  6 Tb 3.29-3.60, 3 Sm 3.33-3.44
Nd 0.0000 0.0000 0.0000  6 Sm 3.53, 6 Tb 3.57
Sm 0.0095 0.5885 0.6805  7 Tb 3.33-3.70, 1 Nd 3.53, 2 Sm 3.55


- M_tot of number 2 (Tb3Nd4Sm)?
  0.00 μB per formula unit